No. 1
SrZr3Ru: optimized geometry, PBE.

Summary:
Calculated total energy: -35.55 eV for the cell shown
Calculated volume: 137.7 Å³ per cell
E above lowest polymorph: 0.000 eV/atom
Formation enthalpy at 0 K: 0.211 eV per atom

abc: 5.1633 5.1633 5.1633
angles: 90.00 90.00 90.00
Closest atoms and distances in Å follow each position.
Space group Pm-3m (No. 221)
Asymmetric unit:
Sr: 0.0000 0.0000 0.0000  12 Zr 3.65
Zr: 0.0000 0.5000 0.5000  2 Ru 2.58
Ru: 0.5000 0.5000 0.5000  6 Zr 2.58



No. 2
SrZrRu: optimized geometry, PBE.

Summary:
Calculated total energy: -18.88 eV for the cell shown
Calculated volume: 85.9 Å³ per cell
E above lowest polymorph: 0.217 eV/atom
Formation enthalpy at 0 K: 0.207 eV per atom

abc: 4.2954 4.2954 5.3746
angles: 90.00 90.00 120.00
Closest atoms and distances in Å follow each position.
Space group P-6m2 (No. 187)
Asymmetric unit:
Sr: 0.0000 0.0000 0.0000  6 Ru 3.66, 6 Zr 3.66
Zr: 0.6667 0.3333 0.5000  3 Ru 2.48
Ru: 0.3333 0.6667 0.5000  3 Zr 2.48



- The highest calculated volume belongs to which entry?
  SrZr3Ru



Copy entry 1 word for word.
SrZr3Ru: optimized geometry, PBE.

Summary:
Calculated total energy: -35.55 eV for the cell shown
Calculated volume: 137.7 Å³ per cell
E above lowest polymorph: 0.000 eV/atom
Formation enthalpy at 0 K: 0.211 eV per atom

abc: 5.1633 5.1633 5.1633
angles: 90.00 90.00 90.00
Closest atoms and distances in Å follow each position.
Space group Pm-3m (No. 221)
Asymmetric unit:
Sr: 0.0000 0.0000 0.0000  12 Zr 3.65
Zr: 0.0000 0.5000 0.5000  2 Ru 2.58
Ru: 0.5000 0.5000 0.5000  6 Zr 2.58



- Which value of E above lowest polymorph does entry 2 give?
  0.217 eV/atom